Compound: Al2VCo5B2
Source: Alexandria via LeMat-Bulk
Functional: PBE
Structure: optimized geometry

Cell lengths 2.919, 8.378, 8.378 Å; angles 90.00, 90.00, 90.00 degrees
Fractional coordinates of all 20 atoms:
Al (0.000, 0.675, 0.175)
Al (0.000, 0.325, 0.825)
Al (0.000, 0.175, 0.325)
Al (0.000, 0.825, 0.675)
V (0.000, 0.000, 0.000)
V (0.000, 0.500, 0.500)
Co (0.500, 0.215, 0.071)
Co (0.500, 0.785, 0.929)
Co (0.500, 0.071, 0.785)
Co (0.500, 0.715, 0.429)
Co (0.500, 0.929, 0.215)
Co (0.500, 0.285, 0.571)
Co (0.500, 0.571, 0.715)
Co (0.500, 0.429, 0.285)
Co (0.500, 0.500, 0.000)
Co (0.500, 0.000, 0.500)
B (0.000, 0.122, 0.622)
B (0.000, 0.878, 0.378)
B (0.000, 0.622, 0.878)
B (0.000, 0.378, 0.122)

Calculated values
ΔE_f = -379 meV per atom
Calculated volume = 204.91 Å³/cell